[1]
Compound: Ti6Fe5Cu
Source: Alexandria via LeMat-Bulk
Functional: GGA-PBE
Structure: optimized geometry

Calculated values
* magnetic moment: 0.00 μB per formula unit
* energy: -97.8 eV/cell
* space group: C2/m
* D(E_F): 0.63 states/eV/atom

```
Ti6Fe5Cu
1.0
4.0501 0.0156 -1.1848
-0.8106 5.1898 -2.7026
-0.0785 0.4195 7.2853
Ti Fe Cu
6 5 1
direct
0.8312 0.0827 0.6622 Ti
0.8312 0.5795 0.6622 Ti
0.1688 0.4205 0.3378 Ti
0.5000 0.2550 0.0000 Ti
0.5000 0.7450 0.0000 Ti
0.1688 0.9173 0.3378 Ti
0.6673 0.1676 0.3351 Fe
0.6664 0.6664 0.3328 Fe
0.0000 0.5000 0.0000 Fe
0.3336 0.3336 0.6672 Fe
0.3327 0.8324 0.6649 Fe
0.0000 0.0000 0.0000 Cu
```

[2]
Compound: TiFeCu2
Source: Alexandria via LeMat-Bulk
Functional: GGA-PBE
Structure: optimized geometry

Calculated values
* magnetic moment: 0.00 μB per formula unit
* energy: -46.8 eV/cell
* space group: I-42d
* D(E_F): 0.80 states/eV/atom

```
TiFeCu2
1.0
-3.2348 0.8511 -0.5802
-0.3609 -2.7274 -1.9889
-4.4178 -5.9171 6.0188
Ti Fe Cu
2 2 4
direct
0.2500 0.7500 0.5000 Ti
0.5000 0.5000 0.0000 Ti
0.0000 0.0000 0.0000 Fe
0.7500 0.2500 0.5000 Fe
0.8750 0.8865 0.7500 Cu
0.1135 0.6250 0.2500 Cu
0.3750 0.3635 0.7500 Cu
0.6365 0.1250 0.2500 Cu
```

[3]
Compound: TiFeCu
Source: Alexandria via LeMat-Bulk
Functional: GGA-PBE
Structure: optimized geometry

Calculated values
* magnetic moment: 0.57 μB per formula unit
* energy: -39.3 eV/cell
* space group: R-3m
* D(E_F): 0.94 states/eV/atom

```
TiFeCu
1.0
4.0910 0.0000 0.0000
2.0455 3.5430 0.0000
2.0455 1.1810 5.8712
Cu Ti Fe
2 2 2
direct
0.8540 0.8540 0.4381 Cu
0.1460 0.1460 0.5619 Cu
0.5816 0.5816 0.2553 Ti
0.4184 0.4184 0.7447 Ti
0.7077 0.7077 0.8769 Fe
0.2923 0.2923 0.1231 Fe
```

[4]
Compound: Ti2FeCu2
Source: Alexandria via LeMat-Bulk
Functional: GGA-PBE
Structure: optimized geometry

Calculated values
* magnetic moment: 0.00 μB per formula unit
* energy: -63.5 eV/cell
* space group: P4/mbm
* D(E_F): 1.20 states/eV/atom

```
Ti2FeCu2
1.0
6.5807 0.0000 0.0000
0.0000 6.5807 0.0000
0.0000 0.0000 3.2023
Fe Cu Ti
2 4 4
direct
0.0000 0.0000 0.0000 Fe
0.5000 0.5000 0.0000 Fe
0.8751 0.6249 0.0000 Cu
0.3751 0.8751 0.0000 Cu
0.1249 0.3751 0.0000 Cu
0.6249 0.1249 0.0000 Cu
0.1820 0.6820 0.5000 Ti
0.6820 0.8180 0.5000 Ti
0.3180 0.1820 0.5000 Ti
0.8180 0.3180 0.5000 Ti
```

Number 3 is which compound?
TiFeCu